# CaLaVFeO6

A relaxed CaLaVFeO6 crystal (PBE with a Hubbard U, Alexandria via LeMat-Bulk).

Cell lengths 5.503, 5.509, 12.405 Å; angles 102.36, 102.54, 91.34 degrees
Atoms (fractional coordinates):
Ca 0.000 0.000 0.000
Ca 0.331 0.331 0.666
Ca 0.669 0.668 0.333
La 0.159 0.189 0.343
La 0.492 0.521 0.009
La 0.820 0.850 0.676
V 0.579 0.096 0.171
V 0.743 0.260 0.505
V 0.912 0.428 0.839
Fe 0.079 0.596 0.173
Fe 0.244 0.762 0.506
Fe 0.409 0.927 0.839
O 0.039 0.559 0.005
O 0.041 0.062 0.507
O 0.110 0.130 0.840
O 0.112 0.632 0.339
O 0.179 0.607 0.809
O 0.311 0.909 0.199
O 0.374 0.894 0.672
O 0.377 0.392 0.173
O 0.443 0.966 0.006
O 0.450 0.463 0.507
O 0.536 0.962 0.476
O 0.643 0.240 0.866
O 0.706 0.229 0.339
O 0.709 0.723 0.842
O 0.776 0.299 0.672
O 0.780 0.800 0.173
O 0.847 0.276 0.143
O 0.956 0.555 0.532

DFT total energy	-74.878	eV/f.u.
mass density	5.32	Mg/m³